Cr2BrCl | PBE-GGA | optimized geometry

Computed properties:
Its volume is 23.96 A^3/atom. The value obtained for the total energy is -22.1 eV/cell. The energy above the most stable polymorph in this dataset comes out at 338 meV/atom.

abc: 5.4830 5.4830 3.8371
angles: 67.35 67.35 92.21
Atoms (fractional coordinates):
Cr  0.0000  0.0000  0.0000
Cr  0.5000  0.5000  0.0000
Br  0.5000  0.0000  0.5000
Cl  0.0000  0.5000  0.5000